(1)
Computed, not measured: a geometry-optimized La5PmHo2 structure at the GGA-PBE level of DFT.

## Properties
* energy above the most stable polymorph in this dataset: 0.00 kJ/mol of atoms
* Fermi-level density of states: 10.608 states/eV/f.u.
* DFT formation energy: 11 meV/atom

a = 5.2052 Å, b = 7.3283 Å, c = 14.6655 Å
α = 90.00°, β = 90.00°, γ = 90.00°
Sites, in units of the cell vectors:
La (0.0000, 0.0000, 0.0000)
La (0.0000, 0.5000, 0.5000)
La (0.0000, 0.5025, 0.7511)
La (0.0000, 0.4975, 0.2489)
La (0.0000, 0.9975, 0.2511)
La (0.0000, 0.0025, 0.7489)
La (0.5000, 0.2516, 0.8757)
La (0.5000, 0.7484, 0.1243)
La (0.5000, 0.2484, 0.3757)
La (0.5000, 0.7516, 0.6243)
Pm (0.0000, 0.0000, 0.5000)
Pm (0.0000, 0.5000, 0.0000)
Ho (0.5000, 0.2515, 0.6243)
Ho (0.5000, 0.7485, 0.3757)
Ho (0.5000, 0.2485, 0.1243)
Ho (0.5000, 0.7515, 0.8757)



(2)
Computed, not measured: a geometry-optimized LaPm3Ho4 structure at the GGA-PBE level of DFT.

## Properties
* energy above the most stable polymorph in this dataset: 0.78 kJ/mol of atoms
* Fermi-level density of states: 14.833 states/eV/f.u.
* DFT formation energy: 29 meV/atom

a = 6.3083 Å, b = 7.3260 Å, c = 11.5537 Å
α = 90.00°, β = 90.00°, γ = 90.00°
Sites, in units of the cell vectors:
La (0.1448, 0.3749, 0.0000)
La (0.6448, 0.6251, 0.5000)
Pm (0.6477, 0.6291, 0.0000)
Pm (0.9822, 0.6289, 0.2511)
Pm (0.4822, 0.3711, 0.2489)
Pm (0.1477, 0.3709, 0.5000)
Pm (0.4822, 0.3711, 0.7511)
Pm (0.9822, 0.6289, 0.7489)
Ho (0.1485, 0.8786, 0.0000)
Ho (0.6473, 0.1199, 0.0000)
Ho (0.9813, 0.1214, 0.2509)
Ho (0.4813, 0.8786, 0.2491)
Ho (0.1473, 0.8801, 0.5000)
Ho (0.6485, 0.1214, 0.5000)
Ho (0.4813, 0.8786, 0.7509)
Ho (0.9813, 0.1214, 0.7491)



(3)
Computed, not measured: a geometry-optimized La4Pm3Ho4 structure at the GGA-PBE level of DFT.

## Properties
* energy above the most stable polymorph in this dataset: 0.00 kJ/mol of atoms
* Fermi-level density of states: 14.395 states/eV/f.u.
* DFT formation energy: 123 meV/atom

a = 3.6150 Å, b = 12.3386 Å, c = 12.3386 Å
α = 45.45°, β = 81.58°, γ = 81.58°
Sites, in units of the cell vectors:
La (0.6464, 0.1844, 0.5229)
La (0.3536, 0.4771, 0.8156)
La (0.3536, 0.8156, 0.4771)
La (0.6464, 0.5229, 0.1844)
Pm (0.8943, 0.1057, 0.1057)
Pm (0.1057, 0.8943, 0.8943)
Pm (0.0000, 0.5000, 0.5000)
Ho (0.7361, 0.7639, 0.7639)
Ho (0.2639, 0.2361, 0.2361)
Ho (0.5000, 0.8172, 0.1828)
Ho (0.5000, 0.1828, 0.8172)



(4)
Computed, not measured: a geometry-optimized La7PmHo4 structure at the GGA-PBE level of DFT.

## Properties
* energy above the most stable polymorph in this dataset: 0.00 kJ/mol of atoms
* Fermi-level density of states: 18.659 states/eV/f.u.
* DFT formation energy: 14 meV/atom

a = 7.3766 Å, b = 6.4221 Å, c = 11.6972 Å
α = 79.50°, β = 50.92°, γ = 89.97°
Sites, in units of the cell vectors:
La (0.7421, 0.4990, 0.0036)
La (0.2579, 0.5010, 0.9964)
La (0.0846, 0.2809, 0.6646)
La (0.9154, 0.7191, 0.3354)
La (0.3333, 0.7783, 0.6664)
La (0.5000, 0.0000, 0.0000)
La (0.6667, 0.2217, 0.3336)
Pm (0.0000, 0.0000, 0.0000)
Ho (0.4117, 0.7234, 0.3326)
Ho (0.5883, 0.2766, 0.6674)
Ho (0.8359, 0.7813, 0.6636)
Ho (0.1641, 0.2187, 0.3364)



(5)
Computed, not measured: a geometry-optimized La2PmHo structure at the GGA-PBE level of DFT.

## Properties
* energy above the most stable polymorph in this dataset: 1.14 kJ/mol of atoms
* Fermi-level density of states: 6.570 states/eV/f.u.
* DFT formation energy: 24 meV/atom

a = 3.6745 Å, b = 3.6745 Å, c = 12.1105 Å
α = 81.27°, β = 81.27°, γ = 60.00°
Sites, in units of the cell vectors:
La (0.0823, 0.0823, 0.7531)
La (0.2511, 0.2511, 0.2466)
Pm (0.4990, 0.4990, 0.5029)
Ho (0.6675, 0.6675, 0.9974)



(6)
Computed, not measured: a geometry-optimized La2Pm5Ho6 structure at the GGA-PBE level of DFT.

## Properties
* Fermi-level density of states: 18.047 states/eV/f.u.
* DFT formation energy: 95 meV/atom

a = 3.6114 Å, b = 11.7922 Å, c = 20.6032 Å
α = 90.00°, β = 90.00°, γ = 90.00°
Sites, in units of the cell vectors:
La (0.0000, 0.3283, 0.2775)
La (0.0000, 0.6717, 0.7225)
La (0.0000, 0.8283, 0.2225)
La (0.0000, 0.1717, 0.7775)
Pm (0.5000, 0.2988, 0.4456)
Pm (0.5000, 0.7012, 0.5544)
Pm (0.5000, 0.7988, 0.0544)
Pm (0.5000, 0.2012, 0.9456)
Pm (0.5000, 0.5884, 0.2832)
Pm (0.5000, 0.4116, 0.7168)
Pm (0.5000, 0.0884, 0.2168)
Pm (0.5000, 0.9116, 0.7832)
Pm (0.5000, 0.5000, 0.0000)
Pm (0.5000, 0.0000, 0.5000)
Ho (0.0000, 0.0729, 0.3618)
Ho (0.0000, 0.9271, 0.6382)
Ho (0.0000, 0.5729, 0.1382)
Ho (0.0000, 0.4271, 0.8618)
Ho (0.5000, 0.3169, 0.1235)
Ho (0.5000, 0.6831, 0.8765)
Ho (0.5000, 0.8169, 0.3765)
Ho (0.5000, 0.1831, 0.6235)
Ho (0.0000, 0.5620, 0.4257)
Ho (0.0000, 0.4380, 0.5743)
Ho (0.0000, 0.0620, 0.0743)
Ho (0.0000, 0.9380, 0.9257)



(7)
Computed, not measured: a geometry-optimized La4Pm3Ho4 structure at the GGA-PBE level of DFT.

## Properties
* energy above the most stable polymorph in this dataset: 2.47 kJ/mol of atoms
* Fermi-level density of states: 18.003 states/eV/f.u.
* DFT formation energy: 149 meV/atom

a = 5.7995 Å, b = 6.7064 Å, c = 10.8306 Å
α = 90.00°, β = 90.00°, γ = 115.62°
Sites, in units of the cell vectors:
La (0.7604, 0.5208, 0.7924)
La (0.7604, 0.5208, 0.2076)
La (0.8768, 0.7535, 0.5000)
La (0.9577, 0.9154, 0.0000)
Pm (0.4118, 0.8236, 0.2898)
Pm (0.4118, 0.8236, 0.7102)
Pm (0.2508, 0.5016, 0.0000)
Ho (0.6036, 0.2073, 0.5000)
Ho (0.5532, 0.1063, 0.0000)
Ho (0.1060, 0.2120, 0.6934)
Ho (0.1060, 0.2120, 0.3066)



(8)
Computed, not measured: a geometry-optimized LaPm4Ho2 structure at the GGA-PBE level of DFT.

## Properties
* energy above the most stable polymorph in this dataset: 7.48 kJ/mol of atoms
* Fermi-level density of states: 10.673 states/eV/f.u.
* DFT formation energy: 116 meV/atom

a = 6.1930 Å, b = 6.6814 Å, c = 11.8796 Å
α = 90.00°, β = 106.22°, γ = 90.00°
Sites, in units of the cell vectors:
La (0.1690, 0.7500, 0.1460)
La (0.8310, 0.2500, 0.8540)
Pm (0.6458, 0.4951, 0.2882)
Pm (0.9960, 0.7500, 0.8444)
Pm (0.0040, 0.2500, 0.1556)
Pm (0.6458, 0.0049, 0.2882)
Pm (0.8555, 0.2500, 0.5651)
Pm (0.3542, 0.9951, 0.7118)
Pm (0.3542, 0.5049, 0.7118)
Pm (0.1445, 0.7500, 0.4349)
Ho (0.5973, 0.7500, 0.9988)
Ho (0.4027, 0.2500, 0.0012)
Ho (0.2945, 0.2500, 0.4427)
Ho (0.7055, 0.7500, 0.5573)



(9)
Computed, not measured: a geometry-optimized La2Pm3Ho structure at the GGA-PBE level of DFT.

## Properties
* energy above the most stable polymorph in this dataset: 0.00 kJ/mol of atoms
* Fermi-level density of states: 9.353 states/eV/f.u.
* DFT formation energy: 53 meV/atom

a = 6.8084 Å, b = 9.2087 Å, c = 6.8084 Å
α = 82.14°, β = 84.87°, γ = 97.86°
Sites, in units of the cell vectors:
La (0.8786, 0.6240, 0.6277)
La (0.3723, 0.1240, 0.1214)
La (0.6277, 0.8760, 0.8786)
La (0.1214, 0.3760, 0.3723)
Pm (0.5836, 0.2500, 0.5836)
Pm (0.4164, 0.7500, 0.4164)
Pm (0.1679, 0.9998, 0.6654)
Pm (0.6654, 0.5002, 0.1679)
Pm (0.3346, 0.4998, 0.8321)
Pm (0.8321, 0.0002, 0.3346)
Ho (0.0836, 0.7500, 0.0836)
Ho (0.9164, 0.2500, 0.9164)



(10)
Computed, not measured: a geometry-optimized La4Pm6Ho structure at the GGA-PBE level of DFT.

## Properties
* Fermi-level density of states: 15.984 states/eV/f.u.
* DFT formation energy: 250 meV/atom

a = 6.7704 Å, b = 6.7704 Å, c = 9.7521 Å
α = 110.31°, β = 110.31°, γ = 90.00°
Sites, in units of the cell vectors:
La (0.0381, 0.7132, 0.7513)
La (0.9619, 0.9619, 0.2487)
La (0.7132, 0.0381, 0.7513)
La (0.2868, 0.2868, 0.2487)
Pm (0.8631, 0.4945, 0.3576)
Pm (0.4945, 0.8631, 0.3576)
Pm (0.5055, 0.5055, 0.6424)
Pm (0.0000, 0.5000, 0.0000)
Pm (0.1369, 0.1369, 0.6424)
Pm (0.5000, 0.0000, 0.0000)
Ho (0.5000, 0.5000, 0.0000)



(11)
Computed, not measured: a geometry-optimized LaPm6Ho structure at the GGA-PBE level of DFT.

## Properties
* Fermi-level density of states: 13.380 states/eV/f.u.
* DFT formation energy: 20 meV/atom

a = 5.1565 Å, b = 5.1565 Å, c = 10.3254 Å
α = 90.00°, β = 90.00°, γ = 90.00°
Sites, in units of the cell vectors:
La (0.0000, 0.0000, 0.0000)
Pm (0.5000, 0.5000, 0.0000)
Pm (0.5000, 0.5000, 0.5000)
Pm (0.5000, 0.0000, 0.2540)
Pm (0.5000, 0.0000, 0.7460)
Pm (0.0000, 0.5000, 0.2540)
Pm (0.0000, 0.5000, 0.7460)
Ho (0.0000, 0.0000, 0.5000)



(12)
Computed, not measured: a geometry-optimized La5Pm4Ho3 structure at the GGA-PBE level of DFT.

## Properties
* Fermi-level density of states: 19.613 states/eV/f.u.
* DFT formation energy: 232 meV/atom

a = 5.8246 Å, b = 9.7662 Å, c = 9.7175 Å
α = 113.46°, β = 72.56°, γ = 72.65°
Sites, in units of the cell vectors:
La (0.6796, 0.9296, 0.7113)
La (0.5000, 0.5000, 0.5000)
La (0.2560, 0.4124, 0.0757)
La (0.7440, 0.5876, 0.9243)
La (0.3204, 0.0704, 0.2887)
Pm (0.0532, 0.1450, 0.7487)
Pm (0.1749, 0.7943, 0.8559)
Pm (0.8251, 0.2057, 0.1441)
Pm (0.9468, 0.8550, 0.2513)
Ho (0.4580, 0.7246, 0.3594)
Ho (0.0000, 0.5000, 0.5000)
Ho (0.5420, 0.2754, 0.6406)



(13)
Computed, not measured: a geometry-optimized La4Pm2Ho3 structure at the GGA-PBE level of DFT.

## Properties
* Fermi-level density of states: 15.374 states/eV/f.u.
* DFT formation energy: 25 meV/atom

a = 5.1738 Å, b = 8.1436 Å, c = 8.1726 Å
α = 107.61°, β = 108.45°, γ = 90.00°
Sites, in units of the cell vectors:
La (0.5541, 0.3320, 0.1081)
La (0.7773, 0.6671, 0.5545)
La (0.4459, 0.6680, 0.8919)
La (0.2227, 0.3329, 0.4455)
Pm (0.3334, 0.9998, 0.6668)
Pm (0.6666, 0.0002, 0.3332)
Ho (0.8888, 0.3295, 0.7776)
Ho (0.1112, 0.6705, 0.2224)
Ho (0.0000, 0.0000, 0.0000)



(14)
Computed, not measured: a geometry-optimized La5Pm12Ho2 structure at the GGA-PBE level of DFT.

## Properties
* energy above the most stable polymorph in this dataset: 8.50 kJ/mol of atoms
* Fermi-level density of states: 29.514 states/eV/f.u.
* DFT formation energy: 185 meV/atom

a = 9.3412 Å, b = 10.2673 Å, c = 8.9151 Å
α = 65.59°, β = 90.00°, γ = 117.06°
Sites, in units of the cell vectors:
La (0.2365, 0.4730, 0.7017)
La (0.2886, 0.5771, 0.2237)
La (0.0000, 0.0000, 0.5000)
La (0.7114, 0.4229, 0.7763)
La (0.7635, 0.5270, 0.2983)
Pm (0.9534, 0.9068, 0.1863)
Pm (0.0373, 0.7071, 0.9091)
Pm (0.6699, 0.7071, 0.9091)
Pm (0.1559, 0.7500, 0.4566)
Pm (0.5941, 0.7500, 0.4566)
Pm (0.4356, 0.8712, 0.7254)
Pm (0.5644, 0.1288, 0.2746)
Pm (0.8441, 0.2500, 0.5434)
Pm (0.4059, 0.2500, 0.5434)
Pm (0.9627, 0.2929, 0.0909)
Pm (0.3301, 0.2929, 0.0909)
Pm (0.0466, 0.0932, 0.8137)
Ho (0.6730, 0.0000, 0.0000)
Ho (0.3270, 0.0000, 0.0000)



(15)
Computed, not measured: a geometry-optimized La5Pm5Ho structure at the GGA-PBE level of DFT.

## Properties
* Fermi-level density of states: 19.263 states/eV/f.u.
* DFT formation energy: 225 meV/atom

a = 6.1754 Å, b = 10.1795 Å, c = 7.1447 Å
α = 111.05°, β = 90.00°, γ = 107.66°
Sites, in units of the cell vectors:
La (0.8258, 0.6517, 0.0682)
La (0.8262, 0.6525, 0.5818)
La (0.5000, 0.0000, 0.0000)
La (0.1738, 0.3475, 0.4182)
La (0.1742, 0.3483, 0.9318)
Pm (0.6686, 0.3372, 0.1655)
Pm (0.6243, 0.2487, 0.6210)
Pm (0.0000, 0.0000, 0.5000)
Pm (0.3757, 0.7513, 0.3790)
Pm (0.3314, 0.6628, 0.8345)
Ho (0.0000, 0.0000, 0.0000)



(16)
Computed, not measured: a geometry-optimized La2PmHo structure at the GGA-PBE level of DFT.

## Properties
* energy above the most stable polymorph in this dataset: 8.67 kJ/mol of atoms
* Fermi-level density of states: 8.357 states/eV/f.u.
* DFT formation energy: 102 meV/atom

a = 5.8431 Å, b = 5.8431 Å, c = 5.8431 Å
α = 60.00°, β = 60.00°, γ = 60.00°
Sites, in units of the cell vectors:
La (0.2500, 0.2500, 0.2500)
La (0.7500, 0.7500, 0.7500)
Ho (0.0000, 0.0000, 0.0000)
Pm (0.5000, 0.5000, 0.5000)



(17)
Computed, not measured: a geometry-optimized La3Pm6Ho structure at the GGA-PBE level of DFT.

## Properties
* energy above the most stable polymorph in this dataset: 6.72 kJ/mol of atoms
* Fermi-level density of states: 18.563 states/eV/f.u.
* DFT formation energy: 243 meV/atom

a = 6.8947 Å, b = 13.3027 Å, c = 6.9280 Å
α = 131.03°, β = 119.84°, γ = 90.00°
Sites, in units of the cell vectors:
La (0.7978, 0.3258, 0.5956)
La (0.2022, 0.6742, 0.4044)
La (0.0000, 0.0000, 0.0000)
Pm (0.2936, 0.3217, 0.1292)
Pm (0.1644, 0.6783, 0.8708)
Pm (0.7064, 0.6783, 0.8708)
Pm (0.8356, 0.3217, 0.1292)
Pm (0.3195, 0.0048, 0.6389)
Pm (0.6805, 0.9952, 0.3611)
Ho (0.5000, 0.5000, 0.0000)



(18)
Computed, not measured: a geometry-optimized La4Pm2Ho3 structure at the GGA-PBE level of DFT.

## Properties
* Fermi-level density of states: 14.021 states/eV/f.u.
* DFT formation energy: 24 meV/atom

a = 6.3085 Å, b = 6.3031 Å, c = 13.1413 Å
α = 135.82°, β = 76.23°, γ = 119.92°
Sites, in units of the cell vectors:
La (0.6688, 0.3351, 0.0002)
La (0.3312, 0.6649, 0.9998)
La (0.8896, 0.7743, 0.6657)
La (0.1104, 0.2257, 0.3343)
Pm (0.7791, 0.5591, 0.3342)
Pm (0.2209, 0.4409, 0.6658)
Ho (0.5566, 0.1122, 0.6657)
Ho (0.0000, 0.0000, 0.0000)
Ho (0.4434, 0.8878, 0.3343)



(19)
Computed, not measured: a geometry-optimized La2Pm15Ho2 structure at the GGA-PBE level of DFT.

## Properties
* Fermi-level density of states: 32.877 states/eV/f.u.
* DFT formation energy: 241 meV/atom

a = 8.9179 Å, b = 8.9179 Å, c = 8.9179 Å
α = 79.84°, β = 79.84°, γ = 79.84°
Sites, in units of the cell vectors:
La (0.6762, 0.6762, 0.6762)
La (0.3238, 0.3238, 0.3238)
Pm (0.0000, 0.5000, 0.0000)
Pm (0.0000, 0.0000, 0.5000)
Pm (0.5000, 0.0000, 0.0000)
Pm (0.2938, 0.0000, 0.7062)
Pm (0.7062, 0.2938, 0.0000)
Pm (0.0000, 0.7062, 0.2938)
Pm (0.2938, 0.7062, 0.0000)
Pm (0.0000, 0.2938, 0.7062)
Pm (0.7062, 0.0000, 0.2938)
Pm (0.3701, 0.8491, 0.3701)
Pm (0.3701, 0.3701, 0.8491)
Pm (0.8491, 0.3701, 0.3701)
Pm (0.6299, 0.1509, 0.6299)
Pm (0.6299, 0.6299, 0.1509)
Pm (0.1509, 0.6299, 0.6299)
Ho (0.9061, 0.9061, 0.9061)
Ho (0.0939, 0.0939, 0.0939)



(20)
Computed, not measured: a geometry-optimized La12PmHo6 structure at the GGA-PBE level of DFT.

## Properties
* energy above the most stable polymorph in this dataset: 0.00 kJ/mol of atoms
* Fermi-level density of states: 34.321 states/eV/f.u.
* DFT formation energy: 24 meV/atom

a = 9.6937 Å, b = 9.6937 Å, c = 9.6937 Å
α = 110.83°, β = 110.83°, γ = 110.83°
Sites, in units of the cell vectors:
La (0.3714, 0.0564, 0.5798)
La (0.0564, 0.5798, 0.3714)
La (0.5798, 0.3714, 0.0564)
La (0.6286, 0.9436, 0.4202)
La (0.9436, 0.4202, 0.6286)
La (0.4202, 0.6286, 0.9436)
La (0.1047, 0.1579, 0.7368)
La (0.2632, 0.8953, 0.8421)
La (0.8421, 0.2632, 0.8953)
La (0.8953, 0.8421, 0.2632)
La (0.7368, 0.1047, 0.1579)
La (0.1579, 0.7368, 0.1047)
Pm (0.0000, 0.0000, 0.0000)
Ho (0.2161, 0.3193, 0.4725)
Ho (0.6807, 0.5275, 0.7839)
Ho (0.5275, 0.7839, 0.6807)
Ho (0.7839, 0.6807, 0.5275)
Ho (0.3193, 0.4725, 0.2161)
Ho (0.4725, 0.2161, 0.3193)